Entry 1:
The following is a DFT calculation (PBE) of crystalline Cs2KMg2 at its relaxed geometry.

The value obtained for the volume is 62.12 A^3/atom. The calculation puts the energy of formation at 0.203 eV per atom. The density is 1.9 g/cm³. For the spin magnetization, the calculation gives 0.0 μB/f.u.

POSCAR file:
```
Cs2KMg2
1.0
-2.398 3.415 9.260
0.611 -9.459 3.647
5.841 0.841 1.203
Cs K Mg
4 2 4
Direct
0.176 0.676 0.500
0.676 0.824 0.500
0.824 0.324 0.500
0.324 0.176 0.500
0.000 0.000 0.000
0.500 0.500 0.000
0.390 0.890 0.000
0.890 0.610 0.000
0.610 0.110 0.000
0.110 0.390 0.000
```

***

Entry 2:
The following is a DFT calculation (PBE) of crystalline Dy2LuTl at its relaxed geometry.

The value obtained for the volume is 29.78 A^3/atom. The calculation puts the energy of formation at -0.100 eV per atom. The density is 9.8 g/cm³. For the spin magnetization, the calculation gives 0.0 μB/f.u.

POSCAR file:
```
Dy2LuTl
1.0
3.535 0.000 0.000
1.768 3.062 0.000
1.768 1.021 11.005
Tl Lu Dy
1 1 2
Direct
0.000 0.000 0.000
0.500 0.500 0.500
0.252 0.252 0.243
0.748 0.748 0.757
```

***

Entry 3:
The following is a DFT calculation (PBE) of crystalline TbNdSm3 at its relaxed geometry.

The value obtained for the volume is 36.43 A^3/atom. The calculation puts the energy of formation at 0.286 eV per atom. The density is 6.9 g/cm³. For the spin magnetization, the calculation gives 0.0 μB/f.u.

POSCAR file:
```
TbNdSm3
1.0
-3.260 -1.581 0.378
4.963 -6.791 -2.072
2.224 -1.858 11.414
Tb Nd Sm
2 2 6
Direct
0.308 0.185 0.250
0.692 0.815 0.750
0.919 0.520 0.250
0.081 0.480 0.750
0.837 0.195 0.001
0.163 0.805 0.999
0.837 0.195 0.499
0.163 0.805 0.501
0.656 0.865 0.250
0.344 0.135 0.750
```